Density functional theory data (PBE-GGA) for a relaxed structure of Zr6FeRh.

As for the total energy: -66.64 eV/cell. The calculation puts the mass density at 6.9 Mg/m³. As for the formation energy: 1.34 kcal/mol of atoms. The value obtained for the volume is 21.38 Å³/atom. The value obtained for the total magnetization is 0.004 μB per formula unit.

a = 6.0764 Å, b = 6.0764 Å, c = 6.0421 Å
α = 103.40°, β = 103.40°, γ = 120.07°
Element x y z (fractional)
1 Zr 0.0395 0.4372 0.2437
2 Zr 0.2425 0.2425 0.7611
3 Zr 0.4372 0.0395 0.2437
4 Zr 0.5628 0.9605 0.7563
5 Zr 0.7575 0.7575 0.2389
6 Zr 0.9605 0.5628 0.7563
7 Fe 0.0000 0.0000 0.0000
8 Rh 0.5000 0.5000 0.5000